Entry from Alexandria via LeMat-Bulk: a relaxed PmEr2Zr crystal (GGA-PBE).

a b c (Å): 3.9937 3.9937 7.3842
angles (deg): 90.00 90.00 90.00
Closest atoms and distances in Å follow each position.
Fractional positions:
Pm1 0.0000 0.0000 0.0000  8 Er 3.50, 2 Zr 3.69
Er1 0.5000 0.5000 0.2798  1 Er 3.25, 4 Zr 3.26, 4 Pm 3.50
Er2 0.5000 0.5000 0.7202  1 Er 3.25, 4 Zr 3.26, 4 Pm 3.50
Zr1 0.0000 0.0000 0.5000  8 Er 3.26

Summary:
- ΔH_f (0 K): 16 kJ per mole of atoms
- Uncorrected energy: -5.441 eV/atom
- DOS at the Fermi energy: 8.3 states/eV/f.u.
- Energy relative to the lowest polymorph listed for this composition: 0.091 eV per atom